Density functional theory data (PBE with a Hubbard U) for RbMnF2 after structural relaxation.

```
RbMnF2
1.0
-2.398 0.813 4.013
-2.107 4.195 0.696
-4.734 0.321 -0.088
Mn Rb F
1 1 2
Direct
0.000 0.000 0.000
0.500 0.500 0.500
0.250 0.250 0.250
0.750 0.750 0.750
```

Output
Spin magnetization (μB/f.u.): 5.99
Symmetry: No. 225
Calculated total energy (eV/atom): -4.62
Calculated volume (Å³/cell): 75.56
Polymorph energy (0 for the lowest one) (kcal/mol of atoms): 9.921